Entry 1:
ZnCoBr: relaxed, PBEsol.

a b c (Å): 3.2853 3.2853 5.5973
angles (deg): 90.00 90.00 120.00
Space group P3m1 (No. 156)
One atom of each set of equivalent atoms:
Zn 0.0000 0.0000 0.0000 x1
Co 0.6667 0.3333 0.2849 x1
Br 0.3333 0.6667 0.5541 x1

Properties
Total magnetic moment ... 1.96 μB/f.u.
Electronic total energy ... -3.484 eV per atom
ΔE_f (raw) ... 246 meV/atom

Entry 2:
ZrCo2Br: relaxed, PBEsol.

a b c (Å): 3.304 3.392 5.994
angles (deg): 90.00 90.14 90.00
Space group P2/m (No. 10)
One atom of each set of equivalent atoms:
Zr 0.000 0.000 0.000 x1
Co 0.499 0.500 0.806 x2
Br 0.500 0.000 0.500 x1

Properties
Energy above the lowest structure with this stoichiometry ... 0 meV/atom
Total magnetic moment ... 1.16 μB/f.u.
Electronic total energy ... -6.552 eV per atom
ΔE_f (raw) ... 57 meV/atom

Entry 3:
ZrCoBr2: relaxed, PBEsol.

a b c (Å): 11.137 3.357 5.014
angles (deg): 90.00 90.31 90.00
Space group Cm (No. 8)
One atom of each set of equivalent atoms:
Zr 0.000 0.000 0.000 x2
Co 0.368 0.000 0.833 x2
Br 0.181 0.500 0.796 x2
Br 0.393 0.000 0.358 x2

Properties
Energy above the lowest structure with this stoichiometry ... 0 meV/atom
Total magnetic moment ... 0.00 μB/f.u.
Electronic total energy ... -5.497 eV per atom
ΔE_f (raw) ... -356 meV/atom

Entry 4:
ZrCoBr2: relaxed, PBEsol.

a b c (Å): 6.180 8.632 3.385
angles (deg): 90.00 120.95 90.00
Space group C2/m (No. 12)
One atom of each set of equivalent atoms:
Zr 0.000 0.000 0.000 x2
Co 0.000 0.500 0.000 x2
Br 0.250 0.250 0.000 x4

Properties
Energy above the lowest structure with this stoichiometry ... 437 meV/atom
Total magnetic moment ... 1.57 μB/f.u.
Electronic total energy ... -5.060 eV per atom
ΔE_f (raw) ... 81 meV/atom

Entry 5:
ZrCoBr2: relaxed, PBEsol.

a b c (Å): 3.317 3.317 6.249
angles (deg): 90.00 90.00 90.00
Space group P4/mmm (No. 123)
One atom of each set of equivalent atoms:
Zr 0.000 0.000 0.000 x1
Co 0.000 0.000 0.500 x1
Br 0.500 0.500 0.251 x2

Properties
Energy above the lowest structure with this stoichiometry ... 375 meV/atom
Total magnetic moment ... 1.15 μB/f.u.
Electronic total energy ... -5.122 eV per atom
ΔE_f (raw) ... 20 meV/atom

Entry 6:
ZrCo2Br: relaxed, PBEsol.

a b c (Å): 6.165 6.165 6.165
angles (deg): 90.00 90.00 90.00
Space group Fm-3m (No. 225)
One atom of each set of equivalent atoms:
Zr 0.000 0.000 0.000 x4
Co 0.250 0.250 0.250 x8
Br 0.000 0.000 0.500 x4

Properties
Energy above the lowest structure with this stoichiometry ... 394 meV/atom
Total magnetic moment ... 0.00 μB/f.u.
Electronic total energy ... -6.158 eV per atom
ΔE_f (raw) ... 451 meV/atom

Entry 7:
Cr2Br3: relaxed, PBEsol.

a b c (Å): 3.8950 3.8950 28.1365
angles (deg): 90.00 90.00 120.00
Space group R-3m (No. 166, hexagonal axes)
One atom of each set of equivalent atoms:
Cr 0.0000 0.0000 0.1064 x6
Br 0.0000 0.0000 0.2733 x6
Br 0.0000 0.0000 0.5000 x3

Properties
Total magnetic moment ... 9.00 μB/f.u.
Electronic total energy ... -5.449 eV per atom
ΔE_f (raw) ... -230 meV/atom

Entry 8:
Cr2Br: relaxed, PBEsol.

a b c (Å): 8.002 3.147 8.943
angles (deg): 90.00 109.30 90.00
Space group C2/m (No. 12)
One atom of each set of equivalent atoms:
Cr 0.046 0.000 0.362 x4
Cr 0.155 0.500 0.555 x4
Br 0.201 0.500 0.184 x4

Properties
Energy above the lowest structure with this stoichiometry ... 0 meV/atom
Total magnetic moment ... 0.00 μB/f.u.
Electronic total energy ... -7.191 eV per atom
ΔE_f (raw) ... 261 meV/atom

Entry 9:
Cr2Br: relaxed, PBEsol.

a b c (Å): 16.454 3.033 4.733
angles (deg): 90.00 99.40 90.00
Space group C2/m (No. 12)
One atom of each set of equivalent atoms:
Cr 0.197 0.000 0.112 x4
Cr 0.204 0.000 0.667 x4
Br 0.093 0.500 0.302 x4

Properties
Energy above the lowest structure with this stoichiometry ... 111 meV/atom
Total magnetic moment ... 0.57 μB/f.u.
Electronic total energy ... -7.079 eV per atom
ΔE_f (raw) ... 372 meV/atom

Entry 10:
Cr2Br: relaxed, PBEsol.

a b c (Å): 2.922 2.922 9.704
angles (deg): 90.00 90.00 90.00
Space group I4/mmm (No. 139)
One atom of each set of equivalent atoms:
Cr 0.000 0.000 0.187 x4
Br 0.000 0.000 0.500 x2

Properties
Energy above the lowest structure with this stoichiometry ... 457 meV/atom
Total magnetic moment ... 0.00 μB/f.u.
Electronic total energy ... -6.734 eV per atom
ΔE_f (raw) ... 718 meV/atom

Entry 11:
CrBr2: relaxed, PBEsol.

a b c (Å): 3.576 15.914 6.206
angles (deg): 90.00 90.00 90.00
Space group Cmcm (No. 63)
One atom of each set of equivalent atoms:
Cr 0.000 0.187 0.250 x4
Br 0.000 0.201 0.750 x4
Br 0.000 0.420 0.750 x4

Properties
Total magnetic moment ... 4.00 μB/f.u.
Electronic total energy ... -5.169 eV per atom
ΔE_f (raw) ... -508 meV/atom

Entry 12:
CrBr2: relaxed, PBEsol.

a b c (Å): 6.281 6.281 3.776
angles (deg): 90.00 90.00 90.00
Space group P4_2/mnm (No. 136)
One atom of each set of equivalent atoms:
Cr 0.000 0.000 0.000 x2
Br 0.194 0.194 0.500 x4

Properties
Total magnetic moment ... 4.00 μB/f.u.
Electronic total energy ... -5.191 eV per atom
ΔE_f (raw) ... -530 meV/atom

Fermi-level density of states (states/eV per atom)
0.189 1.129 0.207 1.437 1.414 1.336 0.456 0.480 0.527 1.090 0.129 0.233